i) ## PuZrS2 (GGA-PBE)

Data for PuZrS2 after structural relaxation.

Results
Spin magnetization (Bohr magnetons per cell): 5.98

Lattice parameters (Å, degrees): 7.182 7.182 7.182 29.59 29.59 29.59
Element x y z (fractional)
Pu 0.000 0.000 0.000
Zr 0.825 0.825 0.825
S 0.417 0.417 0.417
S 0.573 0.573 0.573



ii) ## PuZrS2 (GGA-PBE)

Data for PuZrS2 after structural relaxation.

Results
Spin magnetization (Bohr magnetons per cell): 10.98

Lattice parameters (Å, degrees): 3.763 3.763 12.836 90.00 90.00 120.00
Element x y z (fractional)
Pu 0.333 0.667 0.250
Pu 0.667 0.333 0.750
Zr 0.000 0.000 0.000
Zr 0.000 0.000 0.500
S 0.333 0.667 0.616
S 0.333 0.667 0.884
S 0.667 0.333 0.116
S 0.667 0.333 0.384



The most stable arrangement is ii), and the next structure is 17 meV per atom less stable.



i) ## PuSc2Sb (GGA-PBE)

Data for PuSc2Sb after structural relaxation.

Results
Spin magnetization (Bohr magnetons per cell): 5.69

Lattice parameters (Å, degrees): 10.275 10.275 10.275 18.73 18.73 18.73
Element x y z (fractional)
Pu 0.000 0.000 0.000
Sc 0.247 0.247 0.247
Sc 0.753 0.753 0.753
Sb 0.500 0.500 0.500



ii) ## PuSc2Sb (GGA-PBE)

Data for PuSc2Sb after structural relaxation.

Results
Spin magnetization (Bohr magnetons per cell): 6.89

Lattice parameters (Å, degrees): 4.640 4.640 4.379 90.00 90.00 90.00
Element x y z (fractional)
Pu 0.000 0.000 0.000
Sc 0.000 0.500 0.500
Sc 0.500 0.000 0.500
Sb 0.500 0.500 0.000



The most stable arrangement is ii), and the next structure is 235 meV per atom less stable.



i) ## PuScSb (GGA-PBE)

Data for PuScSb after structural relaxation.

Results
Spin magnetization (Bohr magnetons per cell): 0.31

Lattice parameters (Å, degrees): 8.307 8.307 5.443 94.11 94.11 23.33
Element x y z (fractional)
Pu 0.000 0.000 0.000
Pu 0.608 0.608 0.113
Sc 0.319 0.319 0.713
Sc 0.969 0.969 0.482
Sb 0.144 0.144 0.620
Sb 0.810 0.810 0.194



ii) ## PuScSb (GGA-PBE)

Data for PuScSb after structural relaxation.

Results
Spin magnetization (Bohr magnetons per cell): 12.43

Lattice parameters (Å, degrees): 5.181 5.181 8.046 102.27 102.27 49.00
Element x y z (fractional)
Pu 0.126 0.126 0.429
Pu 0.874 0.874 0.571
Sc 0.321 0.321 0.867
Sc 0.679 0.679 0.133
Sb 0.395 0.395 0.246
Sb 0.605 0.605 0.754



The most stable arrangement is ii), and the next structure is 240 meV per atom less stable.



i) ## Pu3Sb2Se (GGA-PBE)

Data for Pu3Sb2Se after structural relaxation.

Results
Spin magnetization (Bohr magnetons per cell): 21.45

Lattice parameters (Å, degrees): 14.382 13.714 7.509 79.48 69.64 30.89
Element x y z (fractional)
Pu 0.040 0.538 0.198
Pu 0.112 0.638 0.638
Pu 0.198 0.724 0.040
Pu 0.276 0.802 0.462
Pu 0.362 0.888 0.888
Pu 0.462 0.960 0.276
Pu 0.538 0.040 0.724
Pu 0.638 0.112 0.112
Pu 0.724 0.198 0.538
Pu 0.802 0.276 0.960
Pu 0.888 0.362 0.362
Pu 0.960 0.462 0.802
Sb 0.127 0.127 0.623
Sb 0.293 0.293 0.457
Sb 0.377 0.377 0.873
Sb 0.457 0.457 0.293
Sb 0.543 0.543 0.707
Sb 0.623 0.623 0.127
Sb 0.707 0.707 0.543
Sb 0.873 0.873 0.377
Se 0.041 0.041 0.209
Se 0.209 0.209 0.041
Se 0.791 0.791 0.959
Se 0.959 0.959 0.791



ii) ## Pu3Sb2Se (GGA-PBE)

Data for Pu3Sb2Se after structural relaxation.

Results
Spin magnetization (Bohr magnetons per cell): 15.97

Lattice parameters (Å, degrees): 7.519 7.519 7.519 146.42 131.65 60.15
Element x y z (fractional)
Pu 0.000 0.000 0.000
Pu 0.344 0.344 0.000
Pu 0.656 0.656 0.000
Sb 0.171 0.671 0.500
Sb 0.829 0.329 0.500
Se 0.500 0.000 0.500



The most stable arrangement is ii), and the next structure is 32 meV per atom less stable.



i) ## Pu4SbSe3 (GGA-PBE)

Data for Pu4SbSe3 after structural relaxation.

Results
Spin magnetization (Bohr magnetons per cell): 0.00

Lattice parameters (Å, degrees): 7.285 4.203 7.345 90.00 109.32 90.00
Element x y z (fractional)
Pu 0.238 0.000 0.238
Pu 0.244 0.500 0.756
Pu 0.756 0.500 0.244
Pu 0.762 0.000 0.762
Sb 0.500 0.500 0.500
Se 0.000 0.000 0.500
Se 0.000 0.500 0.000
Se 0.500 0.000 0.000



ii) ## Pu4SbSe3 (GGA-PBE)

Data for Pu4SbSe3 after structural relaxation.

Results
Spin magnetization (Bohr magnetons per cell): 0.13

Lattice parameters (Å, degrees): 7.332 7.332 7.332 131.91 131.91 70.37
Element x y z (fractional)
Pu 0.000 0.500 0.500
Pu 0.244 0.244 0.000
Pu 0.500 0.000 0.500
Pu 0.756 0.756 0.000
Sb 0.500 0.500 0.000
Se 0.000 0.000 0.000
Se 0.250 0.750 0.500
Se 0.750 0.250 0.500



The most stable arrangement is i), and the next structure is 13 meV per atom less stable.



i) ## SrPuSb (GGA-PBE)

Data for SrPuSb after structural relaxation.

Results
Spin magnetization (Bohr magnetons per cell): 6.97

Lattice parameters (Å, degrees): 6.425 6.425 6.425 142.54 142.54 54.02
Element x y z (fractional)
Sr 0.000 0.000 0.000
Pu 0.711 0.711 0.000
Sb 0.333 0.333 0.000



ii) ## SrPuSb (GGA-PBE)

Data for SrPuSb after structural relaxation.

Results
Spin magnetization (Bohr magnetons per cell): 13.96

Lattice parameters (Å, degrees): 4.684 4.684 8.966 90.00 90.00 90.00
Element x y z (fractional)
Sr 0.250 0.250 0.148
Sr 0.750 0.750 0.852
Pu 0.250 0.750 0.500
Pu 0.750 0.250 0.500
Sb 0.250 0.250 0.761
Sb 0.750 0.750 0.239



The most stable arrangement is ii), and the next structure is 311 meV per atom less stable.